(A)
SnIBrN2, optimized geometry, DFT PBE; D(E_F) = 0.89 states/eV per atom; space group = P4/mmm; crystal system = tetragonal
1.0
4.1984 0.0000 0.0000
0.0000 4.1984 0.0000
0.0000 0.0000 6.5766
Sn I Br N
1 1 1 2
Direct
0.0000 0.0000 0.0000 Sn
0.5000 0.5000 0.5000 I
0.5000 0.5000 0.0000 Br
0.0000 0.5000 0.5000 N
0.5000 0.0000 0.5000 N



(B)
SnIBrN2, optimized geometry, DFT PBE; D(E_F) = 0.77 states/eV per atom; space group = P4/mmm; crystal system = tetragonal
1.0
4.2147 0.0000 0.0000
0.0000 4.2147 0.0000
0.0000 0.0000 7.3031
Sn I Br N
1 1 1 2
Direct
0.0000 0.0000 0.0000 Sn
0.0000 0.0000 0.5000 I
0.5000 0.5000 0.5000 Br
0.0000 0.5000 0.0000 N
0.5000 0.0000 0.0000 N



So which one is most stable? That would be (B), about 25.8 kJ/mol of atoms below the next structure.



(A)
SnI2BrN, optimized geometry, DFT PBE; D(E_F) = 0.88 states/eV per atom; space group = P4/mmm; crystal system = tetragonal
1.0
6.4824 0.0000 0.0000
0.0000 6.4824 0.0000
0.0000 0.0000 3.7595
Sn I Br N
1 2 1 1
Direct
0.0000 0.0000 0.0000 Sn
0.0000 0.5000 0.5000 I
0.5000 0.0000 0.5000 I
0.5000 0.5000 0.5000 Br
0.5000 0.5000 0.0000 N



(B)
SnI2BrN, optimized geometry, DFT PBE; D(E_F) = 1.46 states/eV per atom; space group = P4/mmm; crystal system = tetragonal
1.0
6.1427 0.0000 0.0000
0.0000 6.1427 0.0000
0.0000 0.0000 3.9800
Sn I Br N
1 2 1 1
Direct
0.0000 0.0000 0.0000 Sn
0.0000 0.5000 0.0000 I
0.5000 0.0000 0.0000 I
0.5000 0.5000 0.5000 Br
0.0000 0.0000 0.5000 N



So which one is most stable? That would be (B), about 30.7 kJ/mol of atoms below the next structure.



(A)
SrI2BrN, optimized geometry, DFT PBE; D(E_F) = 1.00 states/eV per atom; space group = P4/mmm; crystal system = tetragonal
1.0
6.4863 0.0000 0.0000
0.0000 6.4863 0.0000
0.0000 0.0000 5.0804
Sr I Br N
1 2 1 1
Direct
0.0000 0.0000 0.0000 Sr
0.0000 0.5000 0.0000 I
0.5000 0.0000 0.0000 I
0.5000 0.5000 0.5000 Br
0.0000 0.0000 0.5000 N



(B)
SrI2BrN, optimized geometry, DFT PBE; D(E_F) = 0.80 states/eV per atom; space group = P4/mmm; crystal system = tetragonal
1.0
6.5310 0.0000 0.0000
0.0000 6.5310 0.0000
0.0000 0.0000 3.8730
Sr I Br N
1 2 1 1
Direct
0.0000 0.0000 0.0000 Sr
0.0000 0.5000 0.5000 I
0.5000 0.0000 0.5000 I
0.5000 0.5000 0.5000 Br
0.5000 0.5000 0.0000 N



So which one is most stable? That would be (A), about 4.7 kJ/mol of atoms below the next structure.



(A)
TcI2BrN, optimized geometry, DFT PBE; D(E_F) = 0.96 states/eV per atom; space group = P4/mmm; crystal system = tetragonal
1.0
5.6550 0.0000 0.0000
0.0000 5.6550 0.0000
0.0000 0.0000 3.7604
Tc I Br N
1 2 1 1
Direct
0.0000 0.0000 0.0000 Tc
0.0000 0.5000 0.0000 I
0.5000 0.0000 0.0000 I
0.5000 0.5000 0.5000 Br
0.0000 0.0000 0.5000 N



(B)
TcI2BrN, optimized geometry, DFT PBE; D(E_F) = 0.75 states/eV per atom; space group = P4/mmm; crystal system = tetragonal
1.0
6.3023 0.0000 0.0000
0.0000 6.3023 0.0000
0.0000 0.0000 3.7138
Tc I Br N
1 2 1 1
Direct
0.0000 0.0000 0.0000 Tc
0.0000 0.5000 0.5000 I
0.5000 0.0000 0.5000 I
0.5000 0.5000 0.5000 Br
0.5000 0.5000 0.0000 N



So which one is most stable? That would be (A), about 132.9 kJ/mol of atoms below the next structure.



(A)
Te2IBrN, optimized geometry, DFT PBE; D(E_F) = 0.74 states/eV per atom; space group = P4/mmm; crystal system = tetragonal
1.0
4.9807 0.0000 0.0000
0.0000 4.9807 0.0000
0.0000 0.0000 4.9076
Te I Br N
2 1 1 1
Direct
0.0000 0.5000 0.0000 Te
0.5000 0.0000 0.0000 Te
0.0000 0.0000 0.5000 I
0.5000 0.5000 0.5000 Br
0.0000 0.0000 0.0000 N



(B)
Te2IBrN, optimized geometry, DFT PBE; D(E_F) = 1.13 states/eV per atom; space group = P4/mmm; crystal system = tetragonal
1.0
6.2041 0.0000 0.0000
0.0000 6.2041 0.0000
0.0000 0.0000 3.8975
Te I Br N
2 1 1 1
Direct
0.0000 0.5000 0.0000 Te
0.5000 0.0000 0.0000 Te
0.0000 0.0000 0.0000 I
0.5000 0.5000 0.5000 Br
0.0000 0.0000 0.5000 N



So which one is most stable? That would be (A), about 36.3 kJ/mol of atoms below the next structure.



(A)
Te2IBrN, optimized geometry, DFT PBE; D(E_F) = 0.84 states/eV per atom; space group = P4/mmm; crystal system = tetragonal
1.0
6.2550 0.0000 0.0000
0.0000 6.2550 0.0000
0.0000 0.0000 3.6693
Te I Br N
2 1 1 1
Direct
0.0000 0.5000 0.0000 Te
0.5000 0.0000 0.0000 Te
0.0000 0.0000 0.5000 I
0.5000 0.5000 0.0000 Br
0.5000 0.5000 0.5000 N



(B)
Te2IBrN, optimized geometry, DFT PBE; D(E_F) = 2.91 states/eV per atom; space group = P4/mmm; crystal system = tetragonal
1.0
5.6125 0.0000 0.0000
0.0000 5.6125 0.0000
0.0000 0.0000 5.7351
Te I Br N
2 1 1 1
Direct
0.0000 0.5000 0.0000 Te
0.5000 0.0000 0.0000 Te
0.0000 0.0000 0.5000 I
0.0000 0.0000 0.0000 Br
0.5000 0.5000 0.5000 N



So which one is most stable? That would be (A), about 70.4 kJ/mol of atoms below the next structure.



(A)
TeIBrN2, optimized geometry, DFT PBE; D(E_F) = 0.75 states/eV per atom; space group = P4/mmm; crystal system = tetragonal
1.0
4.1328 0.0000 0.0000
0.0000 4.1328 0.0000
0.0000 0.0000 7.0180
Te I Br N
1 1 1 2
Direct
0.0000 0.0000 0.0000 Te
0.0000 0.0000 0.5000 I
0.5000 0.5000 0.0000 Br
0.0000 0.5000 0.5000 N
0.5000 0.0000 0.5000 N



(B)
TeIBrN2, optimized geometry, DFT PBE; D(E_F) = 0.82 states/eV per atom; space group = P4/mmm; crystal system = tetragonal
1.0
4.3630 0.0000 0.0000
0.0000 4.3630 0.0000
0.0000 0.0000 8.5530
Te I Br N
1 1 1 2
Direct
0.0000 0.0000 0.0000 Te
0.5000 0.5000 0.0000 I
0.5000 0.5000 0.5000 Br
0.0000 0.5000 0.5000 N
0.5000 0.0000 0.5000 N



So which one is most stable? That would be (A), about 26.0 kJ/mol of atoms below the next structure.



(A)
TlI2BrN, optimized geometry, DFT PBE; D(E_F) = 1.20 states/eV per atom; space group = P4/mmm; crystal system = tetragonal
1.0
7.0203 0.0000 0.0000
0.0000 7.0203 0.0000
0.0000 0.0000 3.7145
Tl I Br N
1 2 1 1
Direct
0.0000 0.0000 0.0000 Tl
0.0000 0.5000 0.5000 I
0.5000 0.0000 0.5000 I
0.5000 0.5000 0.5000 Br
0.5000 0.5000 0.0000 N



(B)
TlI2BrN, optimized geometry, DFT PBE; D(E_F) = 0.90 states/eV per atom; space group = P4/mmm; crystal system = tetragonal
1.0
6.1807 0.0000 0.0000
0.0000 6.1807 0.0000
0.0000 0.0000 4.5419
Tl I Br N
1 2 1 1
Direct
0.0000 0.0000 0.0000 Tl
0.0000 0.5000 0.0000 I
0.5000 0.0000 0.0000 I
0.5000 0.5000 0.5000 Br
0.0000 0.0000 0.5000 N



So which one is most stable? That would be (A), about 15.8 kJ/mol of atoms below the next structure.



(A)
WIBrN2, optimized geometry, DFT PBE; D(E_F) = 0.69 states/eV per atom; space group = P4/mmm; crystal system = tetragonal
1.0
4.0305 0.0000 0.0000
0.0000 4.0305 0.0000
0.0000 0.0000 7.0723
W I Br N
1 1 1 2
Direct
0.0000 0.0000 0.0000 W
0.5000 0.5000 0.0000 I
0.5000 0.5000 0.5000 Br
0.0000 0.5000 0.5000 N
0.5000 0.0000 0.5000 N



(B)
WIBrN2, optimized geometry, DFT PBE; D(E_F) = 0.84 states/eV per atom; space group = P4/mmm; crystal system = tetragonal
1.0
4.0192 0.0000 0.0000
0.0000 4.0192 0.0000
0.0000 0.0000 5.9048
W I Br N
1 1 1 2
Direct
0.0000 0.0000 0.0000 W
0.0000 0.0000 0.5000 I
0.5000 0.5000 0.5000 Br
0.0000 0.5000 0.0000 N
0.5000 0.0000 0.0000 N



So which one is most stable? That would be (B), about 203.6 kJ/mol of atoms below the next structure.



(A)
WI2BrN, optimized geometry, DFT PBE; D(E_F) = 0.88 states/eV per atom; space group = P4/mmm; crystal system = tetragonal
1.0
5.6143 0.0000 0.0000
0.0000 5.6143 0.0000
0.0000 0.0000 3.8574
W I Br N
1 2 1 1
Direct
0.0000 0.0000 0.0000 W
0.0000 0.5000 0.0000 I
0.5000 0.0000 0.0000 I
0.5000 0.5000 0.5000 Br
0.0000 0.0000 0.5000 N



(B)
WI2BrN, optimized geometry, DFT PBE; D(E_F) = 0.81 states/eV per atom; space group = P4/mmm; crystal system = tetragonal
1.0
6.1823 0.0000 0.0000
0.0000 6.1823 0.0000
0.0000 0.0000 3.6552
W I Br N
1 2 1 1
Direct
0.0000 0.0000 0.0000 W
0.0000 0.5000 0.5000 I
0.5000 0.0000 0.5000 I
0.5000 0.5000 0.5000 Br
0.5000 0.5000 0.0000 N



So which one is most stable? That would be (A), about 171.6 kJ/mol of atoms below the next structure.



(A)
YI2BrN, optimized geometry, DFT PBE; D(E_F) = 0.93 states/eV per atom; space group = P4/mmm; crystal system = tetragonal
1.0
6.1085 0.0000 0.0000
0.0000 6.1085 0.0000
0.0000 0.0000 4.6153
Y I Br N
1 2 1 1
Direct
0.0000 0.0000 0.0000 Y
0.0000 0.5000 0.0000 I
0.5000 0.0000 0.0000 I
0.5000 0.5000 0.5000 Br
0.0000 0.0000 0.5000 N



(B)
YI2BrN, optimized geometry, DFT PBE; D(E_F) = 0.76 states/eV per atom; space group = P4/mmm; crystal system = tetragonal
1.0
6.4270 0.0000 0.0000
0.0000 6.4270 0.0000
0.0000 0.0000 3.7415
Y I Br N
1 2 1 1
Direct
0.0000 0.0000 0.0000 Y
0.0000 0.5000 0.5000 I
0.5000 0.0000 0.5000 I
0.5000 0.5000 0.5000 Br
0.5000 0.5000 0.0000 N



So which one is most stable? That would be (A), about 70.4 kJ/mol of atoms below the next structure.



(A)
YIBrN2, optimized geometry, DFT PBE; D(E_F) = 0.35 states/eV per atom; space group = P4/mmm; crystal system = tetragonal
1.0
4.3997 0.0000 0.0000
0.0000 4.3997 0.0000
0.0000 0.0000 5.1245
Y I Br N
1 1 1 2
Direct
0.0000 0.0000 0.0000 Y
0.5000 0.5000 0.0000 I
0.5000 0.5000 0.5000 Br
0.0000 0.5000 0.5000 N
0.5000 0.0000 0.5000 N



(B)
YIBrN2, optimized geometry, DFT PBE; D(E_F) = 0.54 states/eV per atom; space group = P4/mmm; crystal system = tetragonal
1.0
4.3822 0.0000 0.0000
0.0000 4.3822 0.0000
0.0000 0.0000 5.5034
Y I Br N
1 1 1 2
Direct
0.0000 0.0000 0.0000 Y
0.5000 0.5000 0.0000 I
0.0000 0.0000 0.5000 Br
0.0000 0.5000 0.5000 N
0.5000 0.0000 0.5000 N



So which one is most stable? That would be (B), about 22.6 kJ/mol of atoms below the next structure.